[1]
Here is a relaxed TiNiS3 crystal from the Alexandria database. Energies are from PBE.

a = 4.363 Å, b = 4.363 Å, c = 4.363 Å
α = 90.00°, β = 90.00°, γ = 90.00°
Fractional coordinates of all 5 atoms:
Ni 0.000 0.000 0.000
S 0.000 0.500 0.000
S 0.000 0.000 0.500
S 0.500 0.000 0.000
Ti 0.500 0.500 0.500

- Symmetry: Pm-3m
- Calculated volume: 83.0 Å³/f.u.
- Excess energy over the best structure of this formula in the dataset: 405 kJ/mol of formula units
- Raw formation energy: 0.0742 eV per atom

[2]
Here is a relaxed Y6Ni2S crystal from the Alexandria database. Energies are from PBE.

a = 6.459 Å, b = 7.065 Å, c = 10.010 Å
α = 90.00°, β = 87.93°, γ = 90.00°
Fractional coordinates of all 18 atoms:
Y 0.154 0.045 0.247
Y 0.182 0.331 0.574
Y 0.162 0.315 0.927
Y 0.338 0.815 0.573
Y 0.318 0.831 0.926
Y 0.346 0.545 0.253
Y 0.846 0.955 0.753
Y 0.818 0.669 0.426
Y 0.838 0.685 0.073
Y 0.662 0.185 0.427
Y 0.682 0.169 0.074
Y 0.654 0.455 0.747
Ni 0.056 0.611 0.761
Ni 0.444 0.111 0.739
Ni 0.556 0.889 0.261
Ni 0.944 0.389 0.239
S 0.500 0.500 0.000
S 0.000 0.000 0.500

- Symmetry: P2_1/c
- Calculated volume: 228.3 Å³/f.u.
- Raw formation energy: -0.6119 eV per atom

Across the entries above, density takes the values 4.05; 4.97 g/cm³, respectively.